This record from the Alexandria database describes a geometry-optimized LiErCd5 structure. The functional is PBE.

Lattice parameters (Å, degrees): 5.326 5.326 6.488 90.00 90.00 110.50
Sites, in units of the cell vectors:
Cd: 0.500 0.000 0.251
Cd: 0.000 0.500 0.749
Cd: 0.000 0.500 0.251
Cd: 0.000 0.000 0.500
Cd: 0.500 0.000 0.749
Li: 0.500 0.500 0.500
Er: 0.000 0.000 0.000

Calculated values
Theoretical density ... 7.09 g cm⁻³
ΔH_f (0 K) ... -0.09 eV per atom